## a
{"formula": "Li3CaAl", "functional": "PBE", "state": "relaxed", "cell": [[9.0039, -2.2276, 0.0000], [9.0039, 2.2276, 0.0000], [-0.7937, 0.0000, 5.5035]], "species": ["Li", "Li", "Li", "Li", "Li", "Li", "Ca", "Ca", "Al", "Al"], "frac_coords": [[0.0648, 0.0648, 0.2428], [0.1951, 0.1951, 0.6062], [0.3319, 0.3319, 0.6942], [0.6681, 0.6681, 0.3058], [0.8049, 0.8049, 0.3938], [0.9352, 0.9352, 0.7572], [0.4196, 0.4196, 0.2156], [0.5804, 0.5804, 0.7844], [0.2306, 0.2306, 0.1145], [0.7694, 0.7694, 0.8855]], "mass_density_kg_m3": 1322, "spacegroup": "C2/m", "n_ef_per_ev_cell": 5.92}



## b
{"formula": "Li3CaAl", "functional": "PBE", "state": "relaxed", "cell": [[5.2896, 0.0000, 0.0000], [0.0000, 5.2896, 0.0000], [0.0000, 0.0000, 5.2896]], "species": ["Li", "Li", "Li", "Ca", "Al"], "frac_coords": [[0.0000, 0.0000, 0.5000], [0.0000, 0.5000, 0.0000], [0.5000, 0.0000, 0.0000], [0.0000, 0.0000, 0.0000], [0.5000, 0.5000, 0.5000]], "mass_density_kg_m3": 986, "spacegroup": "Pm-3m", "n_ef_per_ev_cell": 3.07}



Calculated relative energies: a 0.000; b 0.973, given in eV/atom